Compound: LiNbV2F
Source: Alexandria via LeMat-Bulk
Functional: PBE+U
Structure: relaxed

a = 4.306 Å, b = 4.306 Å, c = 4.501 Å
α = 90.00°, β = 90.00°, γ = 90.00°
Space group P4/mmm (No. 123)
Asymmetric unit:
Li 0.000 0.000 0.000 [1 per cell]
Nb 0.500 0.500 0.000 [1 per cell]
V 0.000 0.500 0.500 [2 per cell]
F 0.500 0.500 0.500 [1 per cell]

Summary:
Calculated total energy in eV per atom: -5.32
Total magnetization in μB per formula unit: 4.637
Crystal system: tetragonal